A crystal of TaSCl3 relaxed with PBEsol, computed with meta-GGA SCAN.

a = 4.782 Å, b = 4.782 Å, c = 4.782 Å
α = 90.00°, β = 90.00°, γ = 90.00°
Space group Pm-3m (No. 221)
Inequivalent atoms, fractional coordinates:
Ta  0.000  0.000  0.000 (multiplicity 1)
S  0.500  0.500  0.500 (multiplicity 1)
Cl  0.000  0.500  0.500 (multiplicity 3)

Results
Relative energy among the computed polymorphs = 1315 meV per atom
Total magnetic moment = 3.52 μB/cell
Formation energy without anion corrections = 108.1 kJ per mole of atoms